(1)
Here is a relaxed Cd2GeO4 crystal from Alexandria via LeMat-Bulk. Energies are from PBE.

abc: 3.7684 3.7684 11.8130
angles: 90.00 90.00 90.00
Last column: nearest neighbours and their distance in Å.
Space group I4/mmm (No. 139)
Unique sites:
Cd: 0.0000 0.0000 0.1502 (multiplicity 4)  1 O 2.21
Ge: 0.0000 0.0000 0.5000 (multiplicity 2)  6 O 1.88-1.92
O: 0.0000 0.0000 0.3376 (multiplicity 4)  1 Ge 1.92
O: 0.0000 0.5000 0.0000 (multiplicity 4)  2 Ge 1.88

Values from the calculation:
- Spin magnetization: 0.0 μB/f.u.
- Excess energy over the best structure of this formula in the dataset: 266 meV/atom
- Total DFT energy (no corrections): -4.86 eV per atom
- Formation energy from raw total energies: -1.110 eV per atom

(2)
Here is a relaxed Pr3Te4Pd3 crystal from Alexandria via LeMat-Bulk. Energies are from PBE.

abc: 10.0465 10.0465 10.0465
angles: 90.00 90.00 90.00
Last column: nearest neighbours and their distance in Å.
Space group I-43d (No. 220)
Unique sites:
Pr: 0.0000 0.2500 0.3750 (multiplicity 12)  4 Pd 3.08
Te: 0.0825 0.0825 0.0825 (multiplicity 16)  3 Pd 2.80
Pd: 0.0000 0.2500 0.8750 (multiplicity 12)  4 Te 2.80, 4 Pr 3.08

Values from the calculation:
- Spin magnetization: 0.0 μB/f.u.
- Total DFT energy (no corrections): -5.40 eV per atom
- Formation energy from raw total energies: -1.148 eV per atom